Record 1
DFT (GGA-PBE) results for a geometry-optimized Tm2SiCl structure.

As for the space group: R-3m. The calculation puts the mass density at 7.1 g/cm3. The calculation puts the magnetization at 0.00 μB per atom.

a = 4.088 Å, b = 4.088 Å, c = 6.934 Å
α = 72.86°, β = 72.86°, γ = 60.00°
Positions (direct):
Si 0.000 0.000 0.000
Tm 0.261 0.261 0.218
Tm 0.739 0.739 0.782
Cl 0.500 0.500 0.500


Record 2
DFT (GGA-PBE) results for a geometry-optimized USiCl structure.

As for the space group: C2/m. The calculation puts the mass density at 5.8 g/cm3. The calculation puts the magnetization at 0.37 μB per atom.

a = 5.495 Å, b = 3.888 Å, c = 11.987 Å
α = 87.10°, β = 76.75°, γ = 45.04°
Positions (direct):
U 0.887 0.875 0.350
U 0.113 0.125 0.650
Si 0.659 0.087 0.595
Si 0.341 0.913 0.405
Cl 0.141 0.580 0.138
Cl 0.859 0.420 0.862


Record 3
DFT (GGA-PBE) results for a geometry-optimized VSi2Cl8 structure.

As for the space group: C2/m. The calculation puts the mass density at 1.8 g/cm3. The calculation puts the magnetization at 0.27 μB per atom.

a = 8.164 Å, b = 6.918 Å, c = 6.918 Å
α = 94.34°, β = 73.09°, γ = 73.09°
Positions (direct):
V 0.000 0.000 0.000
Si 0.654 0.909 0.909
Si 0.346 0.091 0.091
Cl 0.220 0.210 0.884
Cl 0.780 0.116 0.790
Cl 0.188 0.728 0.728
Cl 0.812 0.272 0.272
Cl 0.220 0.884 0.210
Cl 0.780 0.790 0.116
Cl 0.687 0.684 0.684
Cl 0.313 0.316 0.316


Record 4
DFT (GGA-PBE) results for a geometry-optimized V2SiCl structure.

As for the space group: Fm-3m. The calculation puts the mass density at 4.9 g/cm3. The calculation puts the magnetization at 0.27 μB per atom.

a = 4.292 Å, b = 4.292 Å, c = 4.292 Å
α = 60.00°, β = 60.00°, γ = 60.00°
Positions (direct):
Si 0.000 0.000 0.000
V 0.250 0.250 0.250
V 0.750 0.750 0.750
Cl 0.500 0.500 0.500


Number 1: uncorrected formation energy -1.051 eV per atom. Number 2: uncorrected formation energy -0.385 eV per atom. Number 3: uncorrected formation energy -0.948 eV per atom. Number 4: uncorrected formation energy 0.202 eV per atom.